(1)
{"formula": "NaMgAlGa", "functional": "PBE-GGA", "state": "optimized geometry", "lattice": [[-3.833, -3.015, -0.001], [-1.855, -1.585, -4.223], [0.565, -4.662, -1.315]], "species": ["Na", "Mg", "Al", "Ga"], "fractional_positions": [[0.000, 0.000, 0.000], [0.750, 0.750, 0.750], [0.500, 0.500, 0.500], [0.250, 0.250, 0.250]], "final_energy_ev_per_atom": -2.351}



(2)
{"formula": "NaMgAl2Ga2", "functional": "PBE-GGA", "state": "optimized geometry", "lattice": [[-4.356, -0.071, 1.133], [2.369, -3.827, -0.074], [1.747, 0.950, 6.775]], "species": ["Na", "Mg", "Al", "Al", "Ga", "Ga"], "fractional_positions": [[0.000, 0.000, 0.000], [0.000, 0.000, 0.500], [0.333, 0.667, 0.712], [0.667, 0.333, 0.288], [0.333, 0.667, 0.275], [0.667, 0.333, 0.725]], "final_energy_ev_per_atom": -2.778}



(3)
{"formula": "Nd2MgAl3Ga4", "functional": "PBE-GGA", "state": "optimized geometry", "lattice": [[4.353, 0.000, 0.000], [0.000, 4.353, 0.000], [0.000, 0.000, 10.955]], "species": ["Nd", "Nd", "Mg", "Al", "Al", "Al", "Ga", "Ga", "Ga", "Ga"], "fractional_positions": [[0.500, 0.000, 0.239], [0.000, 0.500, 0.761], [0.500, 0.500, 0.500], [0.000, 0.000, 0.500], [0.500, 0.000, 0.870], [0.000, 0.500, 0.130], [0.500, 0.500, 0.000], [0.000, 0.000, 0.000], [0.500, 0.000, 0.644], [0.000, 0.500, 0.356]], "final_energy_ev_per_atom": -3.856}



(4)
{"formula": "NdMgAlGa", "functional": "PBE-GGA", "state": "optimized geometry", "lattice": [[-1.358, 3.554, -3.273], [-3.748, 3.144, 1.122], [0.980, 4.823, 0.983]], "species": ["Mg", "Nd", "Al", "Ga"], "fractional_positions": [[0.500, 0.500, 0.500], [0.000, 0.000, 0.000], [0.750, 0.750, 0.750], [0.250, 0.250, 0.250]], "final_energy_ev_per_atom": -3.565}



(5)
{"formula": "NdMgAl2Ga2", "functional": "PBE-GGA", "state": "optimized geometry", "lattice": [[4.544, 0.000, 0.000], [-2.272, 3.936, 0.000], [0.000, 0.000, 6.772]], "species": ["Nd", "Mg", "Al", "Al", "Ga", "Ga"], "fractional_positions": [[0.000, 0.000, 0.000], [0.000, 0.000, 0.500], [0.667, 0.333, 0.296], [0.333, 0.667, 0.704], [0.667, 0.333, 0.722], [0.333, 0.667, 0.278]], "final_energy_ev_per_atom": -3.690}



(6)
{"formula": "MgAlGaNi", "functional": "PBE-GGA", "state": "optimized geometry", "lattice": [[2.896, 0.000, 0.003], [0.000, 2.896, -0.003], [-0.013, 0.013, 7.405]], "species": ["Mg", "Al", "Ga", "Ni"], "fractional_positions": [[0.145, 0.855, 0.720], [0.646, 0.354, 0.025], [0.647, 0.353, 0.426], [0.147, 0.853, 0.218]], "final_energy_ev_per_atom": -3.793}



(7)
{"formula": "Mg2Al2GaNi5", "functional": "PBE-GGA", "state": "optimized geometry", "lattice": [[3.076, 0.000, 0.000], [0.000, 9.489, 0.000], [0.000, 0.000, 9.489]], "species": ["Mg", "Mg", "Mg", "Mg", "Al", "Al", "Al", "Al", "Ga", "Ga", "Ni", "Ni", "Ni", "Ni", "Ni", "Ni", "Ni", "Ni", "Ni", "Ni"], "fractional_positions": [[0.000, 0.670, 0.170], [0.000, 0.330, 0.830], [0.000, 0.170, 0.330], [0.000, 0.830, 0.670], [0.000, 0.130, 0.630], [0.000, 0.870, 0.370], [0.000, 0.630, 0.870], [0.000, 0.370, 0.130], [0.000, 0.000, 0.000], [0.000, 0.500, 0.500], [0.500, 0.195, 0.054], [0.500, 0.805, 0.946], [0.500, 0.054, 0.805], [0.500, 0.695, 0.446], [0.500, 0.946, 0.195], [0.500, 0.305, 0.554], [0.500, 0.554, 0.695], [0.500, 0.446, 0.305], [0.500, 0.500, 0.000], [0.500, 0.000, 0.500]], "final_energy_ev_per_atom": -4.552}



(8)
{"formula": "MgNpAl2Ga2", "functional": "PBE-GGA", "state": "optimized geometry", "lattice": [[4.477, 0.000, 0.000], [-2.239, 3.877, 0.000], [0.000, 0.000, 6.685]], "species": ["Mg", "Np", "Al", "Al", "Ga", "Ga"], "fractional_positions": [[0.000, 0.000, 0.500], [0.000, 0.000, 0.000], [0.333, 0.667, 0.734], [0.667, 0.333, 0.266], [0.333, 0.667, 0.255], [0.667, 0.333, 0.745]], "final_energy_ev_per_atom": -4.777}



(9)
{"formula": "MgPaAlGa", "functional": "PBE-GGA", "state": "optimized geometry", "lattice": [[4.894, 0.000, 0.000], [2.447, 4.238, 0.000], [2.447, 1.413, 3.996]], "species": ["Mg", "Pa", "Al", "Ga"], "fractional_positions": [[0.000, 0.000, 0.000], [0.500, 0.500, 0.500], [0.750, 0.750, 0.750], [0.250, 0.250, 0.250]], "final_energy_ev_per_atom": -4.566}



(10)
{"formula": "Mg2PaAl3Ga6", "functional": "PBE-GGA", "state": "optimized geometry", "lattice": [[-0.767, 3.426, 2.060], [-3.603, -1.501, 1.156], [6.100, -5.651, 11.671]], "species": ["Mg", "Mg", "Pa", "Al", "Al", "Al", "Ga", "Ga", "Ga", "Ga", "Ga", "Ga"], "fractional_positions": [[0.500, 0.500, 0.107], [0.500, 0.500, 0.893], [0.500, 0.500, 0.500], [0.000, 0.000, 0.416], [0.000, 0.000, 0.584], [0.000, 0.000, 0.000], [0.000, 0.500, 0.699], [0.500, 0.000, 0.301], [0.500, 0.000, 0.699], [0.000, 0.000, 0.176], [0.000, 0.500, 0.301], [0.000, 0.000, 0.824]], "final_energy_ev_per_atom": -3.512}



(11)
{"formula": "Mg3Al2GaPd3", "functional": "PBE-GGA", "state": "optimized geometry", "lattice": [[-0.655, -0.280, 2.831], [4.556, -6.060, 0.455], [2.774, 6.945, 1.328]], "species": ["Mg", "Mg", "Mg", "Al", "Al", "Ga", "Pd", "Pd", "Pd"], "fractional_positions": [[0.500, 0.707, 0.000], [0.500, 0.000, 0.707], [0.500, 0.293, 0.293], [0.500, 0.667, 0.333], [0.500, 0.333, 0.667], [0.000, 0.000, 0.000], [0.000, 0.616, 0.616], [0.000, 0.000, 0.384], [0.000, 0.384, 0.000]], "final_energy_ev_per_atom": -3.919}



(12)
{"formula": "MgAlGaPd", "functional": "PBE-GGA", "state": "optimized geometry", "lattice": [[4.303, 0.000, 0.000], [2.151, 3.726, 0.000], [2.151, 1.242, 4.511]], "species": ["Mg", "Al", "Ga", "Pd"], "fractional_positions": [[0.823, 0.823, 0.532], [0.627, 0.627, 0.119], [0.244, 0.244, 0.269], [0.032, 0.032, 0.903]], "final_energy_ev_per_atom": -3.668, "e_above_lowest_polymorph_ev_per_fu": 0.34}



What did the first record say?
{"formula": "NaMgAlGa", "functional": "PBE-GGA", "state": "optimized geometry", "lattice": [[-3.833, -3.015, -0.001], [-1.855, -1.585, -4.223], [0.565, -4.662, -1.315]], "species": ["Na", "Mg", "Al", "Ga"], "fractional_positions": [[0.000, 0.000, 0.000], [0.750, 0.750, 0.750], [0.500, 0.500, 0.500], [0.250, 0.250, 0.250]], "final_energy_ev_per_atom": -2.351}